First-principles (PBE) data for a relaxed TbNpSi2O8 crystal, as listed in Alexandria.

Cell: 5.8072 5.8072 5.8072 Å, 106.55 106.55 115.48°
Closest atoms and distances in Å follow each position.
Atoms (fractional coordinates):
Si 0.5000 0.5000 0.0000  4 O 1.65
Si 0.7500 0.2500 0.5000  4 O 1.64
O 0.9254 0.2481 0.3227  1 Si 1.64
O 0.3322 0.5169 0.1847  1 Si 1.65
O 0.3973 0.0746 0.3227  1 Si 1.64
O 0.7519 0.0746 0.6773  1 Si 1.64
O 0.3322 0.1475 0.8153  1 Si 1.65
O 0.8525 0.6678 0.1847  1 Si 1.65
O 0.9254 0.6027 0.6773  1 Si 1.64
O 0.4831 0.6678 0.8153  1 Si 1.65
Np 0.2500 0.7500 0.5000  8 O 2.25-2.36
Tb 0.0000 0.0000 0.0000  8 O 2.29-2.43

Summary:
For the raw total energy, the calculation gives -103.8 eV for the cell shown. As for the space group: I-4m2. Its magnetic moment is 2.000 μB per formula unit.